P) VASP calculation (meta-GGA SCAN) on FeNiSb2 at its PBEsol-relaxed geometry.

Its total magnetization is 2.58 μB per formula unit.

abc: 4.5313 4.5313 4.5313
angles: 60.00 60.00 60.00
Last column: nearest neighbours and their distance in Å.
Fractional positions:
Fe1 0.0000 0.0000 0.0000  8 Sb 2.77
Ni1 0.5000 0.5000 0.5000  8 Sb 2.77
Sb1 0.2500 0.2500 0.2500  4 Fe 2.77, 4 Ni 2.77
Sb2 0.7500 0.7500 0.7500  4 Fe 2.77, 4 Ni 2.77

Q) VASP calculation (meta-GGA SCAN) on FeNiSb2 at its PBEsol-relaxed geometry.

Its total magnetization is 2.43 μB per formula unit.

abc: 4.2046 4.2046 5.5160
angles: 103.13 103.13 45.48
Last column: nearest neighbours and their distance in Å.
Fractional positions:
Fe1 0.0000 0.0000 0.0000  6 Sb 2.63
Ni1 0.5000 0.5000 0.5000  6 Sb 2.65
Sb1 0.2509 0.2509 0.7535  3 Fe 2.63, 3 Ni 2.65
Sb2 0.7491 0.7491 0.2465  3 Fe 2.63, 3 Ni 2.65

Ranked by calculated energy, most stable first: Q), P).

P) VASP calculation (meta-GGA SCAN) on Fe2NiW at its PBEsol-relaxed geometry.

Its total magnetization is 1.94 μB per formula unit.

abc: 3.6087 3.6087 3.5080
angles: 90.00 90.00 90.00
Last column: nearest neighbours and their distance in Å.
Fractional positions:
Fe1 0.0000 0.5000 0.0000  4 W 2.52, 4 Ni 2.52, 4 Fe 2.55
Fe2 0.5000 0.0000 0.0000  4 W 2.52, 4 Ni 2.52, 4 Fe 2.55
Ni1 0.0000 0.0000 0.5000  8 Fe 2.52, 4 W 2.55
W1 0.5000 0.5000 0.5000  8 Fe 2.52, 4 Ni 2.55

Q) VASP calculation (meta-GGA SCAN) on Fe2NiW at its PBEsol-relaxed geometry.

Its total magnetization is 3.17 μB per formula unit.

abc: 4.3848 4.3848 4.3848
angles: 131.45 131.45 71.11
Last column: nearest neighbours and their distance in Å.
Fractional positions:
Fe1 0.0000 0.0000 0.0000  4 Fe 2.54, 4 W 2.54, 4 Ni 2.55
Fe2 0.7500 0.2500 0.5000  4 Fe 2.54, 4 Ni 2.54, 4 W 2.55
Ni1 0.5000 0.5000 0.0000  8 Fe 2.54-2.55, 4 W 2.54
W1 0.2500 0.7500 0.5000  8 Fe 2.54-2.55, 4 Ni 2.54

Ranked by calculated energy, most stable first: Q), P).

P) VASP calculation (meta-GGA SCAN) on FeP3O9 at its PBEsol-relaxed geometry.

Its total magnetization is 4.96 μB per formula unit.

abc: 6.6020 6.8527 7.2679
angles: 102.03 92.44 93.90
Last column: nearest neighbours and their distance in Å.
Fractional positions:
Fe1 0.1614 0.0982 0.3571  5 O 1.90-2.11
Fe2 0.8386 0.9018 0.6429  5 O 1.90-2.11
P1 0.1450 0.2053 0.9453  4 O 1.50-1.61
P2 0.3337 0.8845 0.6998  4 O 1.50-1.60
P3 0.3364 0.4442 0.6995  4 O 1.47-1.64
P4 0.6636 0.5558 0.3005  4 O 1.47-1.64
P5 0.6663 0.1155 0.3002  4 O 1.50-1.60
P6 0.8550 0.7947 0.0547  4 O 1.50-1.61
O1 0.0504 0.8548 0.1739  1 P 1.51
O2 0.1298 0.2463 0.1555  1 P 1.50
O3 0.1692 0.9177 0.5590  1 P 1.52
O4 0.1771 0.3363 0.5483  1 P 1.52
O5 0.2601 0.3964 0.8978  2 P 1.58-1.64
O6 0.2860 0.6760 0.7503  2 P 1.56-1.61
O7 0.3007 0.0323 0.8964  2 P 1.60-1.61
O8 0.4472 0.5851 0.3214  1 P 1.47
O9 0.4483 0.0786 0.3402  1 P 1.50
O10 0.5517 0.9214 0.6598  1 P 1.50
O11 0.5528 0.4149 0.6786  1 P 1.47
O12 0.6993 0.9677 0.1036  2 P 1.60-1.61
O13 0.7140 0.3240 0.2497  2 P 1.56-1.61
O14 0.7399 0.6036 0.1022  2 P 1.58-1.64
O15 0.8229 0.6637 0.4517  1 P 1.52
O16 0.8308 0.0823 0.4410  1 P 1.52
O17 0.8702 0.7537 0.8445  1 P 1.50
O18 0.9496 0.1452 0.8261  1 P 1.51

Q) VASP calculation (meta-GGA SCAN) on FeP3O9 at its PBEsol-relaxed geometry.

Its total magnetization is 5.00 μB per formula unit.

abc: 8.4216 8.5049 8.5686
angles: 90.00 90.00 90.00
Last column: nearest neighbours and their distance in Å.
Fractional positions:
Fe1 0.1330 0.1410 0.1462  6 O 1.97-2.05
Fe2 0.3670 0.8590 0.6462  6 O 1.97-2.05
Fe3 0.6330 0.3590 0.8538  6 O 1.97-2.05
Fe4 0.8670 0.6410 0.3538  6 O 1.97-2.05
P1 0.0339 0.6787 0.6904  4 O 1.50-1.61
P2 0.1802 0.5125 0.1875  4 O 1.50-1.60
P3 0.2017 0.1937 0.5485  4 O 1.49-1.61
P4 0.2983 0.8063 0.0485  4 O 1.49-1.61
P5 0.3198 0.4875 0.6875  4 O 1.50-1.60
P6 0.4661 0.3213 0.1904  4 O 1.50-1.61
P7 0.5339 0.8213 0.3096  4 O 1.50-1.61
P8 0.6802 0.9875 0.8125  4 O 1.50-1.60
P9 0.7017 0.3063 0.4515  4 O 1.49-1.61
P10 0.7983 0.6937 0.9515  4 O 1.49-1.61
P11 0.8198 0.0125 0.3125  4 O 1.50-1.60
P12 0.9661 0.1787 0.8096  4 O 1.50-1.61
O1 0.0415 0.2237 0.6453  2 P 1.59-1.60
O2 0.0938 0.1227 0.9176  1 P 1.50
O3 0.0983 0.5951 0.3201  1 P 1.50
O4 0.1001 0.3719 0.1173  1 P 1.50
O5 0.1361 0.8134 0.6381  1 P 1.50
O6 0.1443 0.5338 0.7441  2 P 1.60-1.61
O7 0.1539 0.1617 0.3838  1 P 1.49
O8 0.1913 0.9168 0.1354  1 P 1.50
O9 0.2190 0.6346 0.0507  2 P 1.60-1.61
O10 0.2810 0.3654 0.5507  2 P 1.60-1.61
O11 0.3087 0.0832 0.6354  1 P 1.50
O12 0.3461 0.8383 0.8838  1 P 1.49
O13 0.3557 0.4662 0.2441  2 P 1.60-1.61
O14 0.3639 0.1866 0.1381  1 P 1.50
O15 0.3999 0.6281 0.6173  1 P 1.50
O16 0.4017 0.4049 0.8201  1 P 1.50
O17 0.4062 0.8773 0.4176  1 P 1.50
O18 0.4585 0.7763 0.1453  2 P 1.59-1.60
O19 0.5415 0.2763 0.3547  2 P 1.59-1.60
O20 0.5938 0.3773 0.0824  1 P 1.50
O21 0.5983 0.9049 0.6799  1 P 1.50
O22 0.6001 0.1281 0.8827  1 P 1.50
O23 0.6361 0.6866 0.3619  1 P 1.50
O24 0.6443 0.9662 0.2559  2 P 1.60-1.61
O25 0.6539 0.3383 0.6162  1 P 1.49
O26 0.6913 0.5832 0.8646  1 P 1.50
O27 0.7190 0.8654 0.9493  2 P 1.60-1.61
O28 0.7810 0.1346 0.4493  2 P 1.60-1.61
O29 0.8087 0.4168 0.3646  1 P 1.50
O30 0.8461 0.6617 0.1162  1 P 1.49
O31 0.8557 0.0338 0.7559  2 P 1.60-1.61
O32 0.8639 0.3134 0.8619  1 P 1.50
O33 0.8999 0.8719 0.3827  1 P 1.50
O34 0.9017 0.0951 0.1799  1 P 1.50
O35 0.9062 0.6227 0.5824  1 P 1.50
O36 0.9585 0.7237 0.8547  2 P 1.59-1.60

Ranked by calculated energy, most stable first: Q), P).

P) VASP calculation (meta-GGA SCAN) on FeP2PdO at its PBEsol-relaxed geometry.

Its total magnetization is 3.98 μB per formula unit.

abc: 4.6662 4.6662 3.7120
angles: 90.00 90.00 90.00
Last column: nearest neighbours and their distance in Å.
Fractional positions:
Fe1 0.0000 0.0000 0.0000  8 P 2.98, 4 O 3.30
P1 0.0000 0.5000 0.5000  2 Pd 2.33
P2 0.5000 0.0000 0.5000  2 Pd 2.33
Pd1 0.5000 0.5000 0.5000  2 O 1.86
O1 0.5000 0.5000 0.0000  2 Pd 1.86

Q) VASP calculation (meta-GGA SCAN) on FeP2PdO at its PBEsol-relaxed geometry.

Its total magnetization is 0.01 μB per formula unit.

abc: 4.5195 4.5195 3.2819
angles: 90.00 90.00 90.00
Last column: nearest neighbours and their distance in Å.
Fractional positions:
Fe1 0.0000 0.0000 0.0000  2 O 1.64
P1 0.0000 0.5000 0.0000  2 Fe 2.26
P2 0.5000 0.0000 0.0000  2 Fe 2.26
Pd1 0.5000 0.5000 0.5000  8 P 2.79
O1 0.0000 0.0000 0.5000  2 Fe 1.64

Ranked by calculated energy, most stable first: Q), P).

P) VASP calculation (meta-GGA SCAN) on FeTcPO2 at its PBEsol-relaxed geometry.

Its total magnetization is 6.28 μB per formula unit.

abc: 3.5349 3.5349 4.8335
angles: 90.00 90.00 90.00
Last column: nearest neighbours and their distance in Å.
Fractional positions:
Fe1 0.0000 0.0000 0.0000  4 O 1.77
Tc1 0.5000 0.5000 0.5000  4 P 2.50
P1 0.0000 0.0000 0.5000  2 Fe 2.42, 4 Tc 2.50
O1 0.0000 0.5000 0.0000  2 Fe 1.77
O2 0.5000 0.0000 0.0000  2 Fe 1.77

Q) VASP calculation (meta-GGA SCAN) on FeTcPO2 at its PBEsol-relaxed geometry.

Its total magnetization is 3.00 μB per formula unit.

abc: 3.6490 3.6490 5.1643
angles: 90.00 90.00 90.00
Last column: nearest neighbours and their distance in Å.
Fractional positions:
Fe1 0.0000 0.0000 0.0000  4 P 2.58
Tc1 0.5000 0.5000 0.5000  4 O 1.82
P1 0.5000 0.5000 0.0000  4 Fe 2.58, 2 Tc 2.58
O1 0.0000 0.5000 0.5000  2 Tc 1.82
O2 0.5000 0.0000 0.5000  2 Tc 1.82

Ranked by calculated energy, most stable first: Q), P).

P) VASP calculation (meta-GGA SCAN) on Sr3Fe2O5 at its PBEsol-relaxed geometry.

Its total magnetization is 6.92 μB per formula unit.

abc: 10.4343 10.4343 3.3970
angles: 90.00 90.00 158.66
Last column: nearest neighbours and their distance in Å.
Fractional positions:
Sr1 0.0000 0.0000 0.0000  8 O 2.56-2.57
Sr2 0.1824 0.8176 0.0000  6 O 2.49-2.57
Sr3 0.8176 0.1824 0.0000  6 O 2.49-2.57
Fe1 0.4065 0.5935 0.5000  4 O 1.91-1.93
Fe2 0.5935 0.4065 0.5000  4 O 1.91-1.93
O1 0.0937 0.9063 0.5000  2 Fe 1.93
O2 0.3136 0.6864 0.5000  1 Fe 1.91
O3 0.5000 0.5000 0.5000  2 Fe 1.92
O4 0.6864 0.3136 0.5000  1 Fe 1.91
O5 0.9063 0.0937 0.5000  2 Fe 1.93

Q) VASP calculation (meta-GGA SCAN) on Sr3Fe2O5 at its PBEsol-relaxed geometry.

Its total magnetization is 6.86 μB per formula unit.

abc: 10.3998 10.3998 10.3998
angles: 160.45 158.81 28.98
Last column: nearest neighbours and their distance in Å.
Fractional positions:
Sr1 0.0000 0.0000 0.0000  8 O 2.60
Sr2 0.1851 0.1851 0.0000  7 O 2.52-2.60
Sr3 0.8149 0.8149 0.0000  7 O 2.52-2.60
Fe1 0.4054 0.4054 0.0000  4 O 1.90-1.92
Fe2 0.5946 0.5946 0.0000  4 O 1.90-1.92
O1 0.0947 0.5947 0.5000  2 Fe 1.91
O2 0.3101 0.3101 0.0000  1 Fe 1.92
O3 0.5000 0.5000 0.0000  2 Fe 1.90
O4 0.6899 0.6899 0.0000  1 Fe 1.92
O5 0.9053 0.4053 0.5000  2 Fe 1.91

Ranked by calculated energy, most stable first: Q), P).